No. 1
Density functional theory data (PBE-GGA) for an optimized crystal structure of CsReSe2.

a = 3.8495 Å, b = 3.8495 Å, c = 28.5726 Å
α = 90.00°, β = 90.00°, γ = 120.00°
Space group R-3m (No. 166, hexagonal axes)
Unique sites:
Cs  0.0000  0.0000  0.0000
Re  0.0000  0.0000  0.5000
Se  0.0000  0.0000  0.1192

Properties
Energy above the most stable polymorph in this dataset = 1.10 eV per formula unit
Total energy = -5.04 eV per atom



No. 2
Density functional theory data (PBE-GGA) for an optimized crystal structure of Cs2Re2Se.

a = 6.624 Å, b = 6.624 Å, c = 6.313 Å
α = 90.00°, β = 90.00°, γ = 90.00°
Space group P4/mbm (No. 127)
Unique sites:
Cs  0.180  0.320  0.000
Re  0.124  0.624  0.500
Se  0.000  0.000  0.500

Properties
Total energy = -5.03 eV per atom



No. 3
Density functional theory data (PBE-GGA) for an optimized crystal structure of CsRe2Se4.

a = 6.980 Å, b = 6.986 Å, c = 8.449 Å
α = 112.86°, β = 112.83°, γ = 93.43°
Space group P1 (No. 1)
Unique sites:
Cs  0.000  0.000  0.000
Cs  0.250  0.750  0.500
Re  0.039  0.357  0.718
Re  0.607  0.789  0.219
Re  0.611  0.430  0.219
Re  0.678  0.361  0.719
Se  0.254  0.525  0.094
Se  0.425  0.652  0.856
Se  0.430  0.204  0.856
Se  0.453  0.182  0.357
Se  0.774  0.006  0.595
Se  0.819  0.589  0.595
Se  0.838  0.569  0.094
Se  0.902  0.175  0.356

Properties
Total energy = -5.72 eV per atom



No. 4
Density functional theory data (PBE-GGA) for an optimized crystal structure of CsRe4Se7.

a = 4.713 Å, b = 15.327 Å, c = 8.159 Å
α = 90.00°, β = 90.00°, γ = 90.00°
Space group Pmmn (No. 59, origin choice 2)
Unique sites:
Cs  0.250  0.250  0.210
Re  0.250  0.012  0.772
Re  0.250  0.607  0.256
Se  0.250  0.029  0.103
Se  0.250  0.144  0.623
Se  0.250  0.600  0.575
Se  0.250  0.750  0.118

Properties
Total energy = -6.20 eV per atom



No. 5
Density functional theory data (PBE-GGA) for an optimized crystal structure of Cs3ReSe.

a = 6.906 Å, b = 6.906 Å, c = 6.906 Å
α = 90.00°, β = 90.00°, γ = 90.00°
Space group Pm-3m (No. 221)
Unique sites:
Cs  0.000  0.000  0.500
Re  0.500  0.500  0.500
Se  0.000  0.000  0.000

Properties
Energy above the most stable polymorph in this dataset = 0.00 eV per formula unit
Total energy = -2.96 eV per atom



No. 6
Density functional theory data (PBE-GGA) for an optimized crystal structure of CsReSe2.

a = 7.091 Å, b = 7.091 Å, c = 7.091 Å
α = 90.00°, β = 90.00°, γ = 90.00°
Space group Fm-3m (No. 225)
Unique sites:
Cs  0.000  0.000  0.000
Re  0.000  0.000  0.500
Se  0.250  0.250  0.250

Properties
Energy above the most stable polymorph in this dataset = 4.76 eV per formula unit
Total energy = -4.12 eV per atom